# 1
La3CdH3: optimized geometry, GGA-PBE.

Calculated values
- SG = Pm-3n (223)
- magnetization (μB per atom) = 0.0017
- energy (eV per atom) = -4.06

Cell: 6.6903 6.6903 6.6903 Å, 90.00 90.00 90.00°
Last column: nearest neighbours and their distance in Å.
Positions (direct):
1 H 0.2500 0.0000 0.5000  4 La 2.37
2 H 0.0000 0.5000 0.2500  4 La 2.37
3 H 0.5000 0.7500 0.0000  4 La 2.37
4 H 0.7500 0.0000 0.5000  4 La 2.37
5 H 0.0000 0.5000 0.7500  4 La 2.37
6 H 0.5000 0.2500 0.0000  4 La 2.37
7 Cd 0.5000 0.5000 0.5000  12 La 3.74, 12 H 3.74
8 Cd 0.0000 0.0000 0.0000  12 H 3.74, 12 La 3.74
9 La 0.0000 0.2500 0.5000  4 H 2.37
10 La 0.0000 0.7500 0.5000  4 H 2.37
11 La 0.5000 0.0000 0.7500  4 H 2.37
12 La 0.7500 0.5000 0.0000  4 H 2.37
13 La 0.5000 0.0000 0.2500  4 H 2.37
14 La 0.2500 0.5000 0.0000  4 H 2.37


# 2
Tl2OsRu: optimized geometry, GGA-PBE.

Calculated values
- SG = R3m (160)
- relative energy among the computed polymorphs (meV per atom) = 201
- magnetization (μB per atom) = 0.0000
- energy (eV per atom) = -5.61
- energy of formation from the pure elements (eV per formula unit) = 2.8

Cell: 9.8994 9.8994 9.8994 Å, 17.60 17.60 17.60°
Last column: nearest neighbours and their distance in Å.
Positions (direct):
1 Os 0.4906 0.4906 0.4906  3 Ru 2.60
2 Ru 0.7581 0.7581 0.7581  3 Os 2.60
3 Tl 0.0094 0.0094 0.0094  3 Ru 2.97, 6 Tl 3.03
4 Tl 0.2419 0.2419 0.2419  6 Tl 3.03, 3 Os 3.03


# 3
Mg2InCuN: optimized geometry, GGA-PBE.

Calculated values
- SG = P4/mmm (123)
- magnetization (μB per atom) = 0.5303
- energy (eV per atom) = -2.33
- formation energy from raw total energies (eV per atom) = 1.345

Cell: 5.3750 4.8480 5.3750 Å, 90.00 90.00 90.00°
Last column: nearest neighbours and their distance in Å.
Positions (direct):
1 Mg 0.0000 0.0000 0.5000  2 In 2.69
2 Mg 0.5000 0.0000 0.0000  2 In 2.69
3 N 0.5000 0.5000 0.5000  8 Mg 3.62, 4 Cu 3.80
4 Cu 0.0000 0.5000 0.0000  2 In 2.42
5 In 0.0000 0.0000 0.0000  2 Cu 2.42, 4 Mg 2.69


# 4
BiHI: optimized geometry, GGA-PBE.

Calculated values
- SG = P1 (1)
- relative energy among the computed polymorphs (meV per atom) = 143
- magnetization (μB per atom) = 0.0000
- energy (eV per atom) = -2.91

Cell: 4.6867 6.0897 8.2307 Å, 71.94 101.71 110.30°
Last column: nearest neighbours and their distance in Å.
Positions (direct):
1 Bi 0.5535 0.3232 0.2028  1 H 1.85
2 Bi 0.5987 0.0215 0.5813  1 H 1.85
3 H 0.0183 0.1585 0.5893  1 Bi 1.85
4 H 0.1502 0.2671 0.2314  1 Bi 1.85
5 I 0.7652 0.6119 0.5310  2 Bi 3.02-3.31, 2 H 3.24-3.28
6 I 0.3662 0.9363 0.0259  1 Bi 2.94


Result set for volume: 299, 77, 140, 208 Å³ per cell, one per record in the order listed.